1.
VASP calculation (GGA-PBE) on crystalline HfNbSb at its relaxed geometry.

Properties
**Calculated total energy**: -7.852 eV per atom

Cell lengths 4.6382, 4.6382, 4.6382 Å; angles 60.00, 60.00, 60.00 degrees
With the nearest neighbours (Å) after each atom.
Atoms (fractional coordinates):
Hf 0.2500 0.2500 0.2500  4 Sb 2.84
Sb 0.0000 0.0000 0.0000  4 Hf 2.84, 4 Nb 2.84
Nb 0.7500 0.7500 0.7500  4 Sb 2.84


2.
VASP calculation (GGA-PBE) on crystalline HfSc2Nb at its relaxed geometry.

Properties
**Formation energy from the elements**: 0.64 eV per formula unit

Cell lengths 4.9135, 4.9135, 4.9135 Å; angles 60.00, 60.00, 60.00 degrees
With the nearest neighbours (Å) after each atom.
Atoms (fractional coordinates):
Hf 0.5000 0.5000 0.5000  4 Sc 3.01, 4 Nb 3.01
Sc 0.2500 0.2500 0.2500  4 Sc 3.01, 4 Hf 3.01
Sc 0.0000 0.0000 0.0000  4 Sc 3.01, 4 Nb 3.01
Nb 0.7500 0.7500 0.7500  4 Hf 3.01, 4 Sc 3.01


3.
VASP calculation (GGA-PBE) on crystalline HfScNb2 at its relaxed geometry.

Properties
**Formation energy from the elements**: 0.56 eV per formula unit

Cell lengths 4.8296, 4.8296, 4.8296 Å; angles 60.00, 60.00, 60.00 degrees
With the nearest neighbours (Å) after each atom.
Atoms (fractional coordinates):
Nb 0.2500 0.2500 0.2500  4 Nb 2.96, 4 Sc 2.96
Nb 0.5000 0.5000 0.5000  4 Hf 2.96, 4 Nb 2.96
Hf 0.7500 0.7500 0.7500  4 Nb 2.96, 4 Sc 2.96
Sc 0.0000 0.0000 0.0000  4 Nb 2.96, 4 Hf 2.96


4.
VASP calculation (GGA-PBE) on crystalline HfNbSe4 at its relaxed geometry.

Properties
**Calculated total energy**: -6.656 eV per atom

Cell lengths 3.5737, 3.5737, 13.2492 Å; angles 90.00, 90.00, 120.00 degrees
With the nearest neighbours (Å) after each atom.
Atoms (fractional coordinates):
Hf 0.6667 0.3333 0.5000  6 Se 2.68
Se 0.3333 0.6667 0.3712  3 Hf 2.68
Se 0.3333 0.6667 0.6288  3 Hf 2.68
Se 0.6667 0.3333 0.1248  3 Nb 2.64
Se 0.6667 0.3333 0.8752  3 Nb 2.64
Nb 0.3333 0.6667 0.0000  6 Se 2.64


5.
VASP calculation (GGA-PBE) on crystalline Hf2NbSi at its relaxed geometry.

Properties
**Calculated total energy**: -8.888 eV per atom

Cell lengths 4.6913, 4.6913, 4.6913 Å; angles 60.00, 60.00, 60.00 degrees
With the nearest neighbours (Å) after each atom.
Atoms (fractional coordinates):
Hf 0.0000 0.0000 0.0000  4 Hf 2.87, 4 Nb 2.87
Hf 0.7500 0.7500 0.7500  4 Hf 2.87, 4 Si 2.87
Nb 0.2500 0.2500 0.2500  4 Si 2.87, 4 Hf 2.87
Si 0.5000 0.5000 0.5000  4 Nb 2.87, 4 Hf 2.87


6.
VASP calculation (GGA-PBE) on crystalline HfNbSi2 at its relaxed geometry.

Properties
**Calculated total energy**: -7.596 eV per atom

Cell lengths 4.5388, 4.5388, 4.5388 Å; angles 60.00, 60.00, 60.00 degrees
With the nearest neighbours (Å) after each atom.
Atoms (fractional coordinates):
Si 0.0000 0.0000 0.0000  4 Hf 2.78, 4 Si 2.78
Si 0.7500 0.7500 0.7500  4 Nb 2.78, 4 Si 2.78
Nb 0.5000 0.5000 0.5000  4 Hf 2.78, 4 Si 2.78
Hf 0.2500 0.2500 0.2500  4 Nb 2.78, 4 Si 2.78


7.
VASP calculation (GGA-PBE) on crystalline HfNb2Sn at its relaxed geometry.

Properties
**Calculated total energy**: -8.636 eV per atom

Cell lengths 4.8073, 4.8073, 4.8073 Å; angles 60.00, 60.00, 60.00 degrees
With the nearest neighbours (Å) after each atom.
Atoms (fractional coordinates):
Hf 0.2500 0.2500 0.2500  4 Nb 2.94, 4 Sn 2.94
Sn 0.5000 0.5000 0.5000  4 Hf 2.94, 4 Nb 2.94
Nb 0.0000 0.0000 0.0000  4 Hf 2.94, 4 Nb 2.94
Nb 0.7500 0.7500 0.7500  4 Nb 2.94, 4 Sn 2.94


8.
VASP calculation (GGA-PBE) on crystalline HfNb2Sn2 at its relaxed geometry.

Properties
**Calculated total energy**: -7.547 eV per atom

Cell lengths 7.2009, 7.2009, 7.2009 Å; angles 147.50, 147.50, 46.63 degrees
With the nearest neighbours (Å) after each atom.
Atoms (fractional coordinates):
Sn 0.6013 0.6013 0.0000  1 Sn 2.68, 4 Nb 2.82
Sn 0.3987 0.3987 0.0000  1 Sn 2.68, 4 Nb 2.82
Hf 0.0000 0.0000 0.0000  8 Sn 3.15
Nb 0.2500 0.7500 0.5000  4 Sn 2.82, 4 Nb 2.85
Nb 0.7500 0.2500 0.5000  4 Sn 2.82, 4 Nb 2.85


9.
VASP calculation (GGA-PBE) on crystalline Hf2NbSn at its relaxed geometry.

Properties
**Calculated total energy**: -8.503 eV per atom

Cell lengths 4.8771, 4.8771, 4.8771 Å; angles 60.00, 60.00, 60.00 degrees
With the nearest neighbours (Å) after each atom.
Atoms (fractional coordinates):
Sn 0.5000 0.5000 0.5000  4 Hf 2.99, 4 Nb 2.99
Hf 0.0000 0.0000 0.0000  4 Hf 2.99, 4 Nb 2.99
Hf 0.7500 0.7500 0.7500  4 Sn 2.99, 4 Hf 2.99
Nb 0.2500 0.2500 0.2500  4 Sn 2.99, 4 Hf 2.99


10.
VASP calculation (GGA-PBE) on crystalline Hf2NbSn at its relaxed geometry.

Properties
**Calculated total energy**: -8.760 eV per atom

Cell lengths 3.6068, 3.6068, 6.4082 Å; angles 90.00, 90.00, 90.00 degrees
With the nearest neighbours (Å) after each atom.
Atoms (fractional coordinates):
Hf 0.0000 0.0000 0.7621  4 Nb 2.97, 1 Hf 3.05, 4 Sn 3.05
Hf 0.0000 0.0000 0.2379  4 Nb 2.97, 1 Hf 3.05, 4 Sn 3.05
Nb 0.5000 0.5000 0.0000  8 Hf 2.97, 2 Sn 3.20
Sn 0.5000 0.5000 0.5000  8 Hf 3.05, 2 Nb 3.20


11.
VASP calculation (GGA-PBE) on crystalline HfNbSn at its relaxed geometry.

Properties
**Calculated total energy**: -7.710 eV per atom

Cell lengths 4.6608, 4.6608, 4.6608 Å; angles 60.00, 60.00, 60.00 degrees
With the nearest neighbours (Å) after each atom.
Atoms (fractional coordinates):
Nb 0.7500 0.7500 0.7500  4 Sn 2.85
Hf 0.2500 0.2500 0.2500  4 Sn 2.85
Sn 0.0000 0.0000 0.0000  4 Nb 2.85, 4 Hf 2.85


12.
VASP calculation (GGA-PBE) on crystalline SrHfNb at its relaxed geometry.

Properties
**Energy above the most stable polymorph in this dataset**: 0.0 meV per atom

Cell lengths 5.0371, 5.0371, 5.0371 Å; angles 60.00, 60.00, 60.00 degrees
With the nearest neighbours (Å) after each atom.
Atoms (fractional coordinates):
Sr 0.7500 0.7500 0.7500  4 Nb 3.08
Nb 0.0000 0.0000 0.0000  4 Sr 3.08, 4 Hf 3.08
Hf 0.2500 0.2500 0.2500  4 Nb 3.08


13.
VASP calculation (GGA-PBE) on crystalline Sr2HfNb at its relaxed geometry.

Properties
**Calculated total energy**: -4.947 eV per atom

Cell lengths 5.4517, 5.4517, 5.4517 Å; angles 60.00, 60.00, 60.00 degrees
With the nearest neighbours (Å) after each atom.
Atoms (fractional coordinates):
Sr 0.0000 0.0000 0.0000  4 Sr 3.34, 4 Hf 3.34
Sr 0.7500 0.7500 0.7500  4 Sr 3.34, 4 Nb 3.34
Nb 0.5000 0.5000 0.5000  4 Hf 3.34, 4 Sr 3.34
Hf 0.2500 0.2500 0.2500  4 Nb 3.34, 4 Sr 3.34


14.
VASP calculation (GGA-PBE) on crystalline HfTa2Nb at its relaxed geometry.

Properties
**Formation energy from the elements**: 0.33 eV per formula unit

Cell lengths 4.7545, 4.7545, 4.7545 Å; angles 60.00, 60.00, 60.00 degrees
With the nearest neighbours (Å) after each atom.
Atoms (fractional coordinates):
Hf 0.5000 0.5000 0.5000  4 Ta 2.91, 4 Nb 2.91
Ta 0.2500 0.2500 0.2500  4 Ta 2.91, 4 Hf 2.91
Ta 0.0000 0.0000 0.0000  4 Ta 2.91, 4 Nb 2.91
Nb 0.7500 0.7500 0.7500  4 Hf 2.91, 4 Ta 2.91


15.
VASP calculation (GGA-PBE) on crystalline HfTaNb at its relaxed geometry.

Properties
**Formation energy from the elements**: 2.28 eV per formula unit
**Energy above the most stable polymorph in this dataset**: 0.0 meV per atom

Cell lengths 4.5539, 4.5539, 4.5539 Å; angles 60.00, 60.00, 60.00 degrees
With the nearest neighbours (Å) after each atom.
Atoms (fractional coordinates):
Ta 0.7500 0.7500 0.7500  4 Nb 2.79
Nb 0.0000 0.0000 0.0000  4 Ta 2.79, 4 Hf 2.79
Hf 0.2500 0.2500 0.2500  4 Nb 2.79


16.
VASP calculation (GGA-PBE) on crystalline HfNb4Tc5 at its relaxed geometry.

Properties
**Formation energy from the elements**: -3.88 eV per formula unit

Cell lengths 3.2002, 3.2002, 16.0391 Å; angles 90.00, 90.00, 90.00 degrees
With the nearest neighbours (Å) after each atom.
Atoms (fractional coordinates):
Nb 0.0000 0.0000 0.5997  8 Tc 2.75-2.77
Nb 0.0000 0.0000 0.7992  8 Tc 2.73-2.79
Nb 0.0000 0.0000 0.4003  8 Tc 2.75-2.77
Nb 0.0000 0.0000 0.2008  8 Tc 2.73-2.79
Tc 0.5000 0.5000 0.3024  8 Nb 2.75-2.79
Tc 0.5000 0.5000 0.5000  8 Nb 2.77
Tc 0.5000 0.5000 0.8947  4 Nb 2.73, 4 Hf 2.82
Tc 0.5000 0.5000 0.6976  8 Nb 2.75-2.79
Tc 0.5000 0.5000 0.1053  4 Nb 2.73, 4 Hf 2.82
Hf 0.0000 0.0000 0.0000  8 Tc 2.82


17.
VASP calculation (GGA-PBE) on crystalline HfNbTc at its relaxed geometry.

Properties
**Formation energy from the elements**: 0.45 eV per formula unit
**Energy above the most stable polymorph in this dataset**: 0.0 meV per atom

Cell lengths 4.4391, 4.4391, 4.4391 Å; angles 60.00, 60.00, 60.00 degrees
With the nearest neighbours (Å) after each atom.
Atoms (fractional coordinates):
Nb 0.7500 0.7500 0.7500  4 Tc 2.72
Hf 0.2500 0.2500 0.2500  4 Tc 2.72
Tc 0.0000 0.0000 0.0000  4 Nb 2.72, 4 Hf 2.72


18.
VASP calculation (GGA-PBE) on crystalline Hf2NbTe2 at its relaxed geometry.

Properties
**Energy above the most stable polymorph in this dataset**: 1015.6 meV per atom

Cell lengths 7.6274, 7.6274, 7.6274 Å; angles 148.71, 148.71, 44.84 degrees
With the nearest neighbours (Å) after each atom.
Atoms (fractional coordinates):
Te 0.3934 0.3934 0.0000  4 Hf 2.88, 1 Te 3.01
Te 0.6066 0.6066 0.0000  4 Hf 2.88, 1 Te 3.01
Hf 0.2500 0.7500 0.5000  4 Te 2.88, 4 Hf 2.91
Hf 0.7500 0.2500 0.5000  4 Te 2.88, 4 Hf 2.91
Nb 0.0000 0.0000 0.0000  8 Te 3.27


19.
VASP calculation (GGA-PBE) on crystalline HfNbTe2 at its relaxed geometry.

Properties
**Calculated total energy**: -6.277 eV per atom

Cell lengths 5.0227, 5.0227, 5.0227 Å; angles 60.00, 60.00, 60.00 degrees
With the nearest neighbours (Å) after each atom.
Atoms (fractional coordinates):
Te 0.7500 0.7500 0.7500  4 Nb 3.08, 4 Te 3.08
Te 0.0000 0.0000 0.0000  4 Hf 3.08, 4 Te 3.08
Nb 0.5000 0.5000 0.5000  4 Hf 3.08, 4 Te 3.08
Hf 0.2500 0.2500 0.2500  4 Nb 3.08, 4 Te 3.08


20.
VASP calculation (GGA-PBE) on crystalline HfNbTe at its relaxed geometry.

Properties
**Energy above the most stable polymorph in this dataset**: 0.0 meV per atom

Cell lengths 4.6300, 4.6300, 4.6300 Å; angles 60.00, 60.00, 60.00 degrees
With the nearest neighbours (Å) after each atom.
Atoms (fractional coordinates):
Te 0.0000 0.0000 0.0000  4 Hf 2.84, 4 Nb 2.84
Nb 0.7500 0.7500 0.7500  4 Te 2.84
Hf 0.2500 0.2500 0.2500  4 Te 2.84


no.,total magnetic moment (Bohr magnetons per cell)
1,0.011
2,0.037
3,0.021
4,0.719
5,0.894
6,0.006
7,0.021
8,0.002
9,0.977
10,0.007
11,0.001
12,2.120
13,1.517
14,0.037
15,0.003
16,0.023
17,0.001
18,1.197
19,0.022
20,0.004